#A
The following is a PBE calculation of crystalline Hg4BiPb3 at its relaxed geometry, from Alexandria.

```
Hg4BiPb3
1.0
-5.7439 2.9083 0.1654
-1.4841 -2.6070 -5.6991
-2.5066 -5.1209 2.9952
Hg Pb Bi
4 3 1
direct
0.6717 0.3283 0.6717 Hg
0.3283 0.3283 0.3283 Hg
0.6717 0.6717 0.3283 Hg
0.3283 0.6717 0.6717 Hg
0.5000 0.0000 0.0000 Pb
0.0000 0.0000 0.5000 Pb
0.0000 0.5000 0.0000 Pb
0.0000 0.0000 0.0000 Bi
```

Magnetic moment ... 0.00 μB per formula unit


#B
The following is a PBE calculation of crystalline Hg4BiPb3 at its relaxed geometry, from Alexandria.

```
Hg4BiPb3
1.0
3.2974 0.0000 -1.1631
-0.2931 5.9253 -0.8310
2.0412 0.4643 11.0421
Pb Hg Bi
3 4 1
direct
0.1319 0.2138 0.2638 Pb
0.8681 0.7862 0.7362 Pb
0.0000 0.5000 0.0000 Pb
0.2424 0.7492 0.4848 Hg
0.3741 0.2948 0.7482 Hg
0.6259 0.7052 0.2518 Hg
0.7576 0.2508 0.5152 Hg
0.5000 0.0000 0.0000 Bi
```

Magnetic moment ... 0.00 μB per formula unit


#B is preferred energetically. Next in line: 130 meV per atom higher.


#A
The following is a PBE calculation of crystalline PmHgBiPb at its relaxed geometry, from Alexandria.

```
PmHgBiPb
1.0
-4.7433 -2.0114 -1.9867
-1.4211 -5.2372 1.0214
-4.1821 -1.1070 3.4316
Hg Pm Bi Pb
1 1 1 1
direct
0.0000 0.0000 0.0000 Hg
0.7500 0.7500 0.7500 Pm
0.5000 0.5000 0.5000 Bi
0.2500 0.2500 0.2500 Pb
```

Magnetic moment ... 0.00 μB per formula unit


#B
The following is a PBE calculation of crystalline PmHgBiPb at its relaxed geometry, from Alexandria.

```
PmHgBiPb
1.0
4.6762 0.0000 0.0000
0.0000 4.8364 0.0000
0.0000 0.0000 5.0369
Pm Pb Bi Hg
1 1 1 1
direct
0.5000 0.5000 0.0000 Pm
0.0000 0.5000 0.5000 Pb
0.0000 0.0000 0.0000 Bi
0.5000 0.0000 0.5000 Hg
```

Magnetic moment ... 0.00 μB per formula unit


#B is preferred energetically. Next in line: 121 meV per atom higher.


#A
The following is a PBE calculation of crystalline RbHg2BiPb at its relaxed geometry, from Alexandria.

```
RbHg2BiPb
1.0
-2.2659 0.0549 4.5946
-4.9021 -0.8973 -2.4069
4.4749 -5.8245 -0.5799
Pb Bi Hg Rb
1 1 2 1
direct
0.1846 0.6846 0.3692 Pb
0.8298 0.8298 0.6596 Bi
0.6870 0.1870 0.3739 Hg
0.0691 0.0691 0.1381 Hg
0.4417 0.4417 0.8834 Rb
```

Magnetic moment ... 0.00 μB per formula unit


#B
The following is a PBE calculation of crystalline RbHg2BiPb at its relaxed geometry, from Alexandria.

```
RbHg2BiPb
1.0
-2.4101 -1.6543 -5.2901
5.0911 -2.9415 -1.3995
-2.2415 -5.1284 2.6249
Rb Pb Hg Bi
1 1 2 1
direct
0.5000 0.5000 0.5000 Rb
0.0000 0.0000 0.0000 Pb
0.0000 0.5000 0.0000 Hg
0.5000 0.0000 0.0000 Hg
0.0000 0.0000 0.5000 Bi
```

Magnetic moment ... 0.00 μB per formula unit


#A is preferred energetically. Next in line: 164 meV per atom higher.